[1]
TbPm8Tm3: relaxed, PBE.

formation enthalpy at 0 K = 0.1856 eV/atom
crystal system = monoclinic

abc: 11.559 6.921 10.183
angles: 90.00 90.10 90.00
Space group C2/m (No. 12)
Asymmetric unit:
1 Tb 0.000 0.000 0.000 [2 per cell]
2 Pm 0.000 0.250 0.312 [8 per cell]
3 Pm 0.249 0.500 0.811 [4 per cell]
4 Pm 0.250 0.000 0.811 [4 per cell]
5 Tm 0.000 0.500 0.000 [2 per cell]
6 Tm 0.250 0.250 0.500 [4 per cell]



[2]
Cs5As3Au3: relaxed, PBE.

formation enthalpy at 0 K = -0.3704 eV/atom
crystal system = hexagonal

abc: 11.3039 11.3039 4.7036
angles: 90.00 90.00 120.00
Space group P-62m (No. 189)
Asymmetric unit:
1 Cs 0.0000 0.7416 0.0000 [3 per cell]
2 Cs 0.3333 0.6667 0.0000 [2 per cell]
3 As 0.0000 0.3793 0.0000 [3 per cell]
4 Au 0.0000 0.3166 0.5000 [3 per cell]



[3]
LiSnHgAs: relaxed, PBE.

formation enthalpy at 0 K = -0.1928 eV/atom
offset from the most stable computed form = 0.0 meV/atom
crystal system = monoclinic

abc: 6.887 3.983 8.581
angles: 90.00 106.50 90.00
Space group Cm (No. 8)
Asymmetric unit:
1 Li 0.000 0.000 0.000 [2 per cell]
2 Sn 0.454 0.000 0.347 [2 per cell]
3 Hg 0.084 0.500 0.737 [2 per cell]
4 As 0.224 0.500 0.167 [2 per cell]



[4]
Zr2CdSe: relaxed, PBE.

formation energy from raw total energies = -0.28 eV/atom
offset from the most stable computed form = 259.3 meV/atom
crystal system = cubic

abc: 6.918 6.918 6.918
angles: 90.00 90.00 90.00
Space group Fm-3m (No. 225)
Asymmetric unit:
1 Zr 0.250 0.250 0.250 [8 per cell]
2 Cd 0.000 0.000 0.000 [4 per cell]
3 Se 0.000 0.000 0.500 [4 per cell]



[5]
Lu2SnPd: relaxed, PBE.

formation enthalpy at 0 K = -0.5977 eV/atom
crystal system = trigonal

abc: 3.6839 3.6839 25.4914
angles: 90.00 90.00 120.00
Space group R-3m (No. 166, hexagonal axes)
Asymmetric unit:
1 Lu 0.0000 0.0000 0.2378 [6 per cell]
2 Sn 0.0000 0.0000 0.0000 [3 per cell]
3 Pd 0.0000 0.0000 0.5000 [3 per cell]



[6]
K4PmRe3O12: relaxed, PBE.

formation energy from raw total energies = -1.85 eV/atom
crystal system = cubic

abc: 8.182 8.182 8.182
angles: 90.00 90.00 90.00
Space group Im-3m (No. 229)
Asymmetric unit:
1 K 0.250 0.250 0.250 [8 per cell]
2 Pm 0.000 0.000 0.000 [2 per cell]
3 Re 0.000 0.000 0.500 [6 per cell]
4 O 0.000 0.000 0.273 [12 per cell]
5 O 0.000 0.250 0.500 [12 per cell]



[7]
Tb3CO6: relaxed, PBE.

formation energy from raw total energies = -2.74 eV/atom
crystal system = orthorhombic

abc: 8.744 10.906 5.785
angles: 90.00 90.00 90.00
Space group Cmc2_1 (No. 36)
Asymmetric unit:
1 Tb 0.000 0.099 0.000 [4 per cell]
2 Tb 0.199 0.388 0.032 [8 per cell]
3 C 0.000 0.319 0.648 [4 per cell]
4 O 0.000 0.283 0.149 [4 per cell]
5 O 0.000 0.439 0.736 [4 per cell]
6 O 0.133 0.254 0.700 [8 per cell]
7 O 0.163 0.009 0.264 [8 per cell]



[8]
KReSbI2: relaxed, PBE.

formation energy from raw total energies = 1.49 eV/atom
offset from the most stable computed form = 1332.4 meV/atom
crystal system = tetragonal

abc: 6.355 6.355 6.503
angles: 90.00 90.00 90.00
Space group P4/mmm (No. 123)
Asymmetric unit:
1 K 0.000 0.000 0.000 [1 per cell]
2 Re 0.500 0.500 0.500 [1 per cell]
3 Sb 0.000 0.000 0.500 [1 per cell]
4 I 0.000 0.500 0.000 [2 per cell]



[9]
BeCoAu2: relaxed, PBE.

formation enthalpy at 0 K = 0.4628 eV/atom
crystal system = tetragonal

abc: 3.818 3.818 17.337
angles: 90.00 90.00 90.00
Space group I-42d (No. 122)
Asymmetric unit:
1 Be 0.000 0.000 0.000 [4 per cell]
2 Co 0.000 0.000 0.500 [4 per cell]
3 Au 0.244 0.250 0.125 [8 per cell]



[10]
TlNiPd3: relaxed, PBE.

formation enthalpy at 0 K = 0.5177 eV/atom
offset from the most stable computed form = 0.0 meV/atom
crystal system = cubic

abc: 4.642 4.642 4.642
angles: 90.00 90.00 90.00
Space group Pm-3m (No. 221)
Asymmetric unit:
1 Tl 0.000 0.000 0.000 [1 per cell]
2 Ni 0.500 0.500 0.500 [1 per cell]
3 Pd 0.000 0.500 0.500 [3 per cell]



[11]
ZrMnNbCd2: relaxed, PBE.

formation enthalpy at 0 K = 1.6041 eV/atom
crystal system = tetragonal

abc: 5.349 5.349 4.315
angles: 90.00 90.00 90.00
Space group P4/mmm (No. 123)
Asymmetric unit:
1 Zr 0.000 0.000 0.000 [1 per cell]
2 Mn 0.000 0.000 0.500 [1 per cell]
3 Nb 0.500 0.500 0.500 [1 per cell]
4 Cd 0.000 0.500 0.000 [2 per cell]



[12]
BaTaIn2: relaxed, PBE.

formation enthalpy at 0 K = 0.4988 eV/atom
offset from the most stable computed form = 334.7 meV/atom
crystal system = tetragonal

abc: 5.786 5.786 3.114
angles: 90.00 90.00 90.00
Space group P4/mmm (No. 123)
Asymmetric unit:
1 Ba 0.000 0.000 0.000 [1 per cell]
2 Ta 0.500 0.500 0.000 [1 per cell]
3 In 0.000 0.500 0.500 [2 per cell]



[13]
Ba3Cu2RhO9: relaxed, PBE.

formation energy from raw total energies = -1.39 eV/atom
crystal system = trigonal

abc: 5.7205 5.7205 7.0372
angles: 90.00 90.00 120.00
Space group P-3m1 (No. 164)
Asymmetric unit:
1 Ba 0.0000 0.0000 0.0000 [1 per cell]
2 Ba 0.3333 0.6667 0.6705 [2 per cell]
3 Cu 0.3333 0.6667 0.1523 [2 per cell]
4 Rh 0.0000 0.0000 0.5000 [1 per cell]
5 O 0.0000 0.5000 0.0000 [3 per cell]
6 O 0.1640 0.3280 0.3389 [6 per cell]



[14]
Sc3As: relaxed, PBE.

formation enthalpy at 0 K = -0.7329 eV/atom
crystal system = orthorhombic

abc: 6.921 8.617 5.838
angles: 90.00 90.00 90.00
Space group Pnma (No. 62)
Asymmetric unit:
1 Sc 0.023 0.250 0.136 [4 per cell]
2 Sc 0.181 0.046 0.643 [8 per cell]
3 As 0.122 0.750 0.420 [4 per cell]



[15]
K2RbBr4: relaxed, PBE.

formation energy from raw total energies = -1.23 eV/atom
crystal system = tetragonal

abc: 6.335 6.335 17.115
angles: 90.00 90.00 90.00
Space group I4/mmm (No. 139)
Asymmetric unit:
1 K 0.000 0.000 0.114 [4 per cell]
2 Rb 0.000 0.000 0.500 [2 per cell]
3 Br 0.000 0.000 0.298 [4 per cell]
4 Br 0.000 0.500 0.000 [4 per cell]



[16]
TaCr2Cl: relaxed, PBE.

formation energy from raw total energies = 0.24 eV/atom
offset from the most stable computed form = 153.0 meV/atom
crystal system = trigonal

abc: 3.0002 3.0002 26.4532
angles: 90.00 90.00 120.00
Space group R3m (No. 160, hexagonal axes)
Asymmetric unit:
1 Ta 0.0000 0.0000 0.0000 [3 per cell]
2 Cr 0.0000 0.0000 0.2478 [3 per cell]
3 Cr 0.0000 0.0000 0.5174 [3 per cell]
4 Cl 0.0000 0.0000 0.7366 [3 per cell]



[17]
HfZn: relaxed, PBE.

formation enthalpy at 0 K = 0.2871 eV/atom
crystal system = cubic

abc: 5.430 5.430 5.430
angles: 90.00 90.00 90.00
Space group Fm-3m (No. 225)
Asymmetric unit:
1 Hf 0.000 0.000 0.000 [4 per cell]
2 Zn 0.000 0.000 0.500 [4 per cell]



[18]
MnIrPt2: relaxed, PBE.

formation enthalpy at 0 K = -0.1449 eV/atom
crystal system = orthorhombic

abc: 2.779 3.796 5.618
angles: 90.00 90.00 90.00
Space group Pmm2 (No. 25)
Asymmetric unit:
1 Mn 0.000 0.000 0.000 [1 per cell]
2 Ir 0.500 0.500 0.767 [1 per cell]
3 Pt 0.000 0.000 0.515 [1 per cell]
4 Pt 0.500 0.500 0.248 [1 per cell]



[19]
Na2TmZrTe4: relaxed, PBE.

formation energy from raw total energies = -1.08 eV/atom
crystal system = monoclinic

abc: 7.383 4.221 8.056
angles: 90.00 107.53 90.00
Space group P2/m (No. 10)
Asymmetric unit:
1 Na 0.000 0.000 0.000 [1 per cell]
2 Na 0.500 0.500 0.000 [1 per cell]
3 Tm 0.000 0.500 0.500 [1 per cell]
4 Zr 0.500 0.000 0.500 [1 per cell]
5 Te 0.250 0.000 0.729 [2 per cell]
6 Te 0.265 0.500 0.274 [2 per cell]



[20]
PrIn2Si: relaxed, PBE.

formation energy from raw total energies = -0.33 eV/atom
crystal system = tetragonal

abc: 4.428 4.428 4.943
angles: 90.00 90.00 90.00
Space group P4/mmm (No. 123)
Asymmetric unit:
1 Pr 0.000 0.000 0.000 [1 per cell]
2 In 0.000 0.500 0.500 [2 per cell]
3 Si 0.500 0.500 0.000 [1 per cell]



[21]
CoIr2Pd2: relaxed, PBE.

formation enthalpy at 0 K = 0.7197 eV/atom
offset from the most stable computed form = 11.4 meV/atom
crystal system = tetragonal

abc: 7.541 7.541 2.760
angles: 90.00 90.00 90.00
Space group P4/mbm (No. 127)
Asymmetric unit:
1 Co 0.000 0.000 0.000 [2 per cell]
2 Ir 0.122 0.378 0.500 [4 per cell]
3 Pd 0.177 0.677 0.000 [4 per cell]



[22]
K2NaTi: relaxed, PBE.

formation enthalpy at 0 K = 0.9265 eV/atom
offset from the most stable computed form = 63.5 meV/atom
crystal system = tetragonal

abc: 9.964 9.964 7.283
angles: 90.00 90.00 90.00
Space group I-42d (No. 122)
Asymmetric unit:
1 K 0.242 0.250 0.125 [8 per cell]
2 Na 0.000 0.000 0.000 [4 per cell]
3 Ti 0.000 0.000 0.500 [4 per cell]



[23]
InRuO2: relaxed, PBE.

formation energy from raw total energies = -0.39 eV/atom
crystal system = tetragonal

abc: 5.300 5.300 9.975
angles: 90.00 90.00 90.00
Space group I-42d (No. 122)
Asymmetric unit:
1 In 0.000 0.000 0.000 [4 per cell]
2 Ru 0.000 0.000 0.500 [4 per cell]
3 O 0.132 0.250 0.625 [8 per cell]



[24]
K2Cl: relaxed, PBE.

formation energy from raw total energies = -1.19 eV/atom
offset from the most stable computed form = 54.5 meV/atom
crystal system = orthorhombic

abc: 7.813 7.909 4.505
angles: 90.00 90.00 90.00
Space group Pnnm (No. 58)
Asymmetric unit:
1 K 0.218 0.197 0.000 [4 per cell]
2 Cl 0.000 0.000 0.500 [2 per cell]